1.
# Dy2AsS4, relaxed, DFT GGA-PBE
data_Dy2AsS4
_cell_length_a 6.523
_cell_length_b 6.523
_cell_length_c 7.095
_cell_angle_alpha 90.00
_cell_angle_beta 90.00
_cell_angle_gamma 90.00
_symmetry_space_group_name_H-M 'I 4/m m m'
_symmetry_Int_Tables_number 139
_symmetry_space_group_name_Hall '-I 4 2'
loop_
_atom_site_label
_atom_site_type_symbol
_atom_site_fract_x
_atom_site_fract_y
_atom_site_fract_z
Dy1 Dy 0.000 0.500 0.250
As1 As 0.000 0.000 0.000
S1 S 0.236 0.236 0.500
# E_form (uncorrected) = -8.19 eV/f.u.
# Electronic total energy = -5.51 eV per atom
# Calculated density = 5810 kg/m³

2.
# DyAsS2, relaxed, DFT GGA-PBE
data_DyAsS2
_cell_length_a 3.7284
_cell_length_b 3.7284
_cell_length_c 24.6443
_cell_angle_alpha 90.00
_cell_angle_beta 90.00
_cell_angle_gamma 120.00
_symmetry_space_group_name_H-M 'R -3 m'
_symmetry_Int_Tables_number 166
_symmetry_space_group_name_Hall '-R 3 2"'
loop_
_atom_site_label
_atom_site_type_symbol
_atom_site_fract_x
_atom_site_fract_y
_atom_site_fract_z
Dy1 Dy 0.0000 0.0000 0.0000
As1 As 0.0000 0.0000 0.5000
S1 S 0.0000 0.0000 0.1091
# E_form (uncorrected) = -1.29 eV/f.u.
# Electronic total energy = -4.70 eV per atom
# Calculated density = 5063 kg/m³

| no. | N(E_F) (states/eV/f.u.) | calculated volume (Å³ per atom) | magnetic moment (μB per cell) |
| --- | --- | --- | --- |
| 1 | 2.624 | 21.565 | 0.0 |
| 2 | 1.265 | 24.723 | 0.0 |